Ba6TlH3, relaxed, DFT PBE; symmetry = No. 65; VASP energy = -2.55 eV per atom
1.0
-2.989 1.568 -2.838
3.767 -5.372 -6.936
-6.919 -4.497 4.801
Tl Ba H
1 6 3
Direct
0.000 0.500 0.500
0.000 0.304 0.059
0.000 0.941 0.696
0.000 0.059 0.304
0.500 0.318 0.682
0.500 0.682 0.318
0.000 0.696 0.941
0.500 0.000 0.500
0.000 0.000 0.000
0.500 0.500 0.000

PuTl2Cu2Te4, relaxed, DFT PBE; symmetry = No. 12; ΔE_f (raw) = -438 meV/atom
1.0
4.261 0.000 0.000
0.000 8.508 0.474
-2.130 -2.964 7.298
Tl Te Pu Cu
2 4 1 2
Direct
0.867 0.437 0.734
0.133 0.563 0.266
0.203 0.188 0.407
0.474 0.240 0.949
0.526 0.760 0.051
0.797 0.812 0.593
0.000 0.000 0.000
0.687 0.993 0.373
0.313 0.007 0.627

Rb2NbCl4F2, relaxed, DFT PBE; symmetry = No. 12; ΔE_f (raw) = -2089 meV/atom
1.0
-5.669 0.896 -0.202
-0.861 -0.487 -6.767
-1.925 -6.188 -2.184
Cl Rb F Nb
4 2 2 1
Direct
0.697 0.338 0.855
0.303 0.145 0.662
0.303 0.662 0.145
0.697 0.855 0.338
0.815 0.333 0.333
0.185 0.667 0.667
0.240 0.134 0.134
0.760 0.866 0.866
0.500 0.000 0.000

Taking the records one at a time from the top gives total moment values of 1.00, 4.27, 1.00 μB/f.u..
Taking the records one at a time from the top gives density values of 4.619, 7.920, 3.064 g cm⁻³.
Taking the records one at a time from the top gives volume values of 37.1, 30.1, 26.7 Å³/atom.